# 1
{
  "formula": "ZrZnSi2",
  "functional": "PBE",
  "state": "relaxed",
  "lattice_angstrom": [[5.1849, 0.0011, 0.0000], [2.3896, 4.6014, 0.0000], [-3.7872, -2.3012, 2.6915]],
  "species": ["Si", "Si", "Zn", "Zr"],
  "frac_coords": [[0.0000, 0.0000, 0.0000], [0.2500, 0.7500, 0.5000], [0.5000, 0.5000, 0.0000], [0.7500, 0.2500, 0.5000]],
  "n_ef_per_ev_cell": 1.91,
  "space_group": "No. 119",
  "e_form_raw_ev_per_atom": -0.33
}


# 2
{
  "formula": "ZrZn2Si",
  "functional": "PBE",
  "state": "relaxed",
  "lattice_angstrom": [[4.1837, 0.0000, 0.0000], [0.0000, 3.0282, -0.0224], [0.0000, 0.0416, 5.3751]],
  "species": ["Si", "Zn", "Zn", "Zr"],
  "frac_coords": [[0.5000, 0.0000, 0.7298], [0.0000, 0.9993, 0.0074], [0.5000, 0.0005, 0.2502], [0.0000, 0.5001, 0.5127]],
  "n_ef_per_ev_cell": 2.23,
  "space_group": "No. 25",
  "e_form_raw_ev_per_atom": -0.22
}


# 3
{
  "formula": "ZrZn2Si",
  "functional": "PBE",
  "state": "relaxed",
  "lattice_angstrom": [[5.7105, 0.0023, 0.0309], [-3.0219, 4.8454, 0.0309], [0.7279, 1.3125, 2.5331]],
  "species": ["Si", "Zn", "Zn", "Zr"],
  "frac_coords": [[0.0000, 0.5000, 0.5000], [0.0000, 0.0000, 0.0000], [0.5000, 0.5000, 0.0000], [0.5000, 0.0000, 0.5000]],
  "n_ef_per_ev_cell": 1.58,
  "space_group": "No. 12",
  "e_form_raw_ev_per_atom": -0.15
}


# 4
{
  "formula": "ZrZnSi2",
  "functional": "PBE",
  "state": "relaxed",
  "lattice_angstrom": [[3.2108, 0.0000, 0.0000], [0.0000, 3.6308, 0.0000], [0.0000, 0.0000, 5.6787]],
  "species": ["Si", "Si", "Zn", "Zr"],
  "frac_coords": [[0.0000, 0.0000, 0.0266], [0.0000, 0.0000, 0.4734], [0.5000, 0.5000, 0.2500], [0.5000, 0.5000, 0.7500]],
  "n_ef_per_ev_cell": 1.96,
  "space_group": "No. 47",
  "e_form_raw_ev_per_atom": -0.21
}


# 5
{
  "formula": "ZrZn2Si",
  "functional": "PBE",
  "state": "relaxed",
  "lattice_angstrom": [[-3.2065, 4.1377, -7.4342], [-3.9497, 1.3024, -8.0854], [-5.7629, 2.9742, -6.3728]],
  "species": ["Si", "Zn", "Zn", "Zr"],
  "frac_coords": [[0.7464, 0.7464, 0.7464], [0.0009, 0.0009, 0.0009], [0.2548, 0.2548, 0.2548], [0.4978, 0.4978, 0.4978]],
  "n_ef_per_ev_cell": 1.83,
  "space_group": "No. 160",
  "e_form_raw_ev_per_atom": 0.03
}


# 6
{
  "formula": "ZrZnSi2",
  "functional": "PBE",
  "state": "relaxed",
  "lattice_angstrom": [[-0.9707, 0.6237, -4.1617], [-2.8464, -0.3302, 0.6144], [-0.4064, 5.1018, 0.8594]],
  "species": ["Si", "Si", "Zn", "Zr"],
  "frac_coords": [[0.0000, 0.2500, 0.9935], [0.0000, 0.2500, 0.5065], [0.5000, 0.2500, 0.2500], [0.5000, 0.7500, 0.7500]],
  "n_ef_per_ev_cell": 1.27,
  "space_group": "No. 47",
  "e_form_raw_ev_per_atom": -0.25
}


# 7
{
  "formula": "ZrZn3Si",
  "functional": "PBE",
  "state": "relaxed",
  "lattice_angstrom": [[-0.8857, -3.2982, -3.0504], [1.9824, -3.0770, 2.7513], [-4.0315, -0.7884, 2.0231]],
  "species": ["Zn", "Zn", "Zn", "Si", "Zr"],
  "frac_coords": [[0.0000, 0.5000, 0.0000], [0.0000, 0.0000, 0.5000], [0.5000, 0.0000, 0.0000], [0.0000, 0.0000, 0.0000], [0.5000, 0.5000, 0.5000]],
  "n_ef_per_ev_cell": 1.92,
  "de_polymorph_mev_per_atom": 0.0,
  "space_group": "No. 221",
  "e_form_raw_ev_per_atom": 0.48
}


# 8
{
  "formula": "ZrZn2Si",
  "functional": "PBE",
  "state": "relaxed",
  "lattice_angstrom": [[-2.4815, -1.5923, 1.3707], [1.9037, -0.8066, 2.5094], [-1.7238, 5.2706, 3.0019]],
  "species": ["Si", "Zn", "Zn", "Zr"],
  "frac_coords": [[0.5000, 0.5000, 0.7818], [0.0000, 0.0000, 0.9986], [0.5000, 0.5000, 0.2095], [0.0000, 0.0000, 0.5101]],
  "n_ef_per_ev_cell": 2.46,
  "space_group": "No. 99",
  "e_form_raw_ev_per_atom": -0.13
}


# 9
{
  "formula": "Zr4ZnSi",
  "functional": "PBE",
  "state": "relaxed",
  "lattice_angstrom": [[-5.2143, -0.9471, -0.0309], [1.1862, -6.5567, 0.8094], [-0.1829, 0.7894, 6.6630]],
  "species": ["Zr", "Zr", "Zr", "Zr", "Zr", "Zr", "Zr", "Zr", "Zn", "Zn", "Si", "Si"],
  "frac_coords": [[0.0000, 0.1587, 0.6496], [0.0000, 0.8413, 0.3504], [0.0000, 0.3504, 0.1587], [0.0000, 0.6496, 0.8413], [0.5000, 0.8413, 0.6496], [0.5000, 0.1587, 0.3504], [0.5000, 0.6496, 0.1587], [0.5000, 0.3504, 0.8413], [0.2500, 0.0000, 0.0000], [0.7500, 0.0000, 0.0000], [0.2500, 0.5000, 0.5000], [0.7500, 0.5000, 0.5000]],
  "n_ef_per_ev_cell": 12.19,
  "de_polymorph_mev_per_atom": 0.0,
  "space_group": "No. 124",
  "e_form_raw_ev_per_atom": -0.46
}


# 10
{
  "formula": "ZrSi2",
  "functional": "PBE",
  "state": "relaxed",
  "lattice_angstrom": [[1.9698, 4.9617, 0.1585], [-1.9698, 4.9617, 0.1585], [0.0000, 1.4105, 5.2601]],
  "species": ["Zr", "Zr", "Si", "Si", "Si", "Si"],
  "frac_coords": [[0.0129, 0.0129, 0.5322], [0.2648, 0.2648, 0.9125], [0.9415, 0.9415, 0.0718], [0.3363, 0.3363, 0.3727], [0.6392, 0.6392, 0.7218], [0.6387, 0.6387, 0.2222]],
  "n_ef_per_ev_cell": 2.06,
  "space_group": "No. 12",
  "e_form_raw_ev_per_atom": -0.41
}


# 11
{
  "formula": "Zr3Si2",
  "functional": "PBE",
  "state": "relaxed",
  "lattice_angstrom": [[-3.7618, -1.2641, 0.2352], [1.5249, -3.1874, 7.2607], [-1.5566, 5.1107, 2.5705]],
  "species": ["Zr", "Zr", "Zr", "Zr", "Zr", "Zr", "Si", "Si", "Si", "Si"],
  "frac_coords": [[0.0000, 0.5000, 0.5000], [0.5000, 0.0000, 0.0000], [0.0000, 0.2933, 0.0000], [0.0000, 0.7067, 0.0000], [0.5000, 0.7933, 0.5000], [0.5000, 0.2067, 0.5000], [0.0000, 0.0000, 0.7003], [0.0000, 0.0000, 0.2997], [0.5000, 0.5000, 0.2003], [0.5000, 0.5000, 0.7997]],
  "n_ef_per_ev_cell": 6.70,
  "space_group": "No. 71",
  "e_form_raw_ev_per_atom": -0.72
}


# 12
{
  "formula": "ZrSi2",
  "functional": "PBE",
  "state": "relaxed",
  "lattice_angstrom": [[-3.6043, 1.7458, 6.4868], [3.3511, -4.9927, -4.6862], [3.2338, 0.6476, 1.6225]],
  "species": ["Si", "Si", "Si", "Si", "Zr", "Zr"],
  "frac_coords": [[0.4469, 0.5531, 0.7500], [0.5531, 0.4469, 0.2500], [0.7499, 0.2501, 0.7500], [0.2501, 0.7499, 0.2500], [0.1052, 0.8948, 0.7500], [0.8948, 0.1052, 0.2500]],
  "n_ef_per_ev_cell": 1.05,
  "space_group": "No. 63",
  "e_form_raw_ev_per_atom": -0.66
}


# 13
{
  "formula": "ZrSi2",
  "functional": "PBE",
  "state": "relaxed",
  "lattice_angstrom": [[3.6383, 0.0000, 0.0000], [0.0000, 6.1216, 0.0000], [0.0000, 0.0000, 9.1929]],
  "species": ["Si", "Si", "Si", "Si", "Si", "Si", "Si", "Si", "Zr", "Zr", "Zr", "Zr"],
  "frac_coords": [[0.2500, 0.1656, 0.8222], [0.7500, 0.3344, 0.3222], [0.2500, 0.6656, 0.6778], [0.7500, 0.8344, 0.1778], [0.2500, 0.1265, 0.4366], [0.7500, 0.3735, 0.9366], [0.2500, 0.6265, 0.0634], [0.7500, 0.8735, 0.5634], [0.2500, 0.6660, 0.3720], [0.7500, 0.8340, 0.8720], [0.2500, 0.1660, 0.1280], [0.7500, 0.3340, 0.6280]],
  "n_ef_per_ev_cell": 2.50,
  "space_group": "No. 62",
  "e_form_raw_ev_per_atom": -0.59
}


# 14
{
  "formula": "ZrSi2",
  "functional": "PBE",
  "state": "relaxed",
  "lattice_angstrom": [[-2.4120, -2.5221, -0.9704], [2.1777, -2.5968, 1.3362], [-2.1960, 1.8755, 7.2237]],
  "species": ["Zr", "Zr", "Si", "Si", "Si", "Si"],
  "frac_coords": [[0.3951, 0.2500, 0.7886], [0.6049, 0.7500, 0.2114], [0.0494, 0.2500, 0.0986], [0.9506, 0.7500, 0.9014], [0.2077, 0.2500, 0.4219], [0.7923, 0.7500, 0.5781]],
  "n_ef_per_ev_cell": 2.06,
  "space_group": "No. 11",
  "e_form_raw_ev_per_atom": -0.47
}


# 15
{
  "formula": "ZrSi7",
  "functional": "PBE",
  "state": "relaxed",
  "lattice_angstrom": [[1.7006, -5.2487, -0.7907], [-1.4267, -3.9704, 3.6424], [-3.6736, -3.9300, -1.4582]],
  "species": ["Zr", "Si", "Si", "Si", "Si", "Si", "Si", "Si"],
  "frac_coords": [[0.0000, 0.0000, 0.0000], [0.5000, 0.5000, 0.0000], [0.5000, 0.0000, 0.5000], [0.5000, 0.0000, 0.0000], [0.0000, 0.0000, 0.5000], [0.0000, 0.5000, 0.0000], [0.0000, 0.5000, 0.5000], [0.5000, 0.5000, 0.5000]],
  "n_ef_per_ev_cell": 3.28,
  "space_group": "No. 225",
  "e_form_raw_ev_per_atom": 0.18
}


# 16
{
  "formula": "ZrSi2",
  "functional": "PBE",
  "state": "relaxed",
  "lattice_angstrom": [[1.7546, -4.8455, 0.0000], [1.7546, 4.8455, 0.0000], [0.0000, 0.0000, 6.0990]],
  "species": ["Zr", "Zr", "Si", "Si", "Si", "Si"],
  "frac_coords": [[0.9406, 0.0594, 0.7500], [0.0594, 0.9406, 0.2500], [0.3374, 0.6626, 0.4430], [0.6626, 0.3374, 0.9430], [0.6626, 0.3374, 0.5570], [0.3374, 0.6626, 0.0570]],
  "n_ef_per_ev_cell": 2.02,
  "space_group": "No. 63",
  "e_form_raw_ev_per_atom": -0.48
}


# 17
{
  "formula": "ZrSi4",
  "functional": "PBE",
  "state": "relaxed",
  "lattice_angstrom": [[-2.9735, 2.9735, 2.9735], [2.9735, -2.9735, 2.9735], [2.9735, 2.9735, -2.9735]],
  "species": ["Zr", "Si", "Si", "Si", "Si"],
  "frac_coords": [[0.0000, 0.0000, 0.0000], [0.5000, 0.0000, 0.0000], [0.5000, 0.5000, 0.5000], [0.0000, 0.5000, 0.0000], [0.0000, 0.0000, 0.5000]],
  "n_ef_per_ev_cell": 2.13,
  "de_polymorph_mev_per_atom": 0.0,
  "space_group": "No. 229",
  "e_form_raw_ev_per_atom": 0.30
}


# 18
{
  "formula": "Zr3Si2",
  "functional": "PBE",
  "state": "relaxed",
  "lattice_angstrom": [[-3.9177, -4.7936, 8.8526], [1.3869, -3.3011, -1.1737], [9.3816, 3.4563, 1.3646]],
  "species": ["Zr", "Zr", "Zr", "Zr", "Zr", "Zr", "Zr", "Zr", "Zr", "Zr", "Zr", "Zr", "Si", "Si", "Si", "Si", "Si", "Si", "Si", "Si"],
  "frac_coords": [[0.5386, 0.0000, 0.6546], [0.4614, 0.0000, 0.3454], [0.5386, 0.5000, 0.1546], [0.4614, 0.5000, 0.8454], [0.2824, 0.0000, 0.9691], [0.7176, 0.0000, 0.0309], [0.2824, 0.5000, 0.4691], [0.7176, 0.5000, 0.5309], [0.9052, 0.0000, 0.8155], [0.0948, 0.0000, 0.1845], [0.9052, 0.5000, 0.3155], [0.0948, 0.5000, 0.6845], [0.7122, 0.0000, 0.3131], [0.2878, 0.0000, 0.6869], [0.7122, 0.5000, 0.8131], [0.2878, 0.5000, 0.1869], [0.0943, 0.0000, 0.4600], [0.9057, 0.0000, 0.5400], [0.0943, 0.5000, 0.9600], [0.9057, 0.5000, 0.0400]],
  "n_ef_per_ev_cell": 16.25,
  "space_group": "No. 12",
  "e_form_raw_ev_per_atom": -0.77
}


# 19
{
  "formula": "ZrSi5",
  "functional": "PBE",
  "state": "relaxed",
  "lattice_angstrom": [[0.0000, 3.5655, 3.5655], [3.5655, 0.0000, 3.5655], [3.5655, 3.5655, 0.0000]],
  "species": ["Zr", "Si", "Si", "Si", "Si", "Si"],
  "frac_coords": [[0.0000, 0.0000, 0.0000], [0.7500, 0.7500, 0.7500], [0.8754, 0.3749, 0.3749], [0.3749, 0.8754, 0.3749], [0.3749, 0.3749, 0.8754], [0.3749, 0.3749, 0.3749]],
  "n_ef_per_ev_cell": 4.73,
  "de_polymorph_mev_per_atom": 134.8,
  "space_group": "No. 216",
  "e_form_raw_ev_per_atom": 0.06
}


# 20
{
  "formula": "ZrSi2",
  "functional": "PBE",
  "state": "relaxed",
  "lattice_angstrom": [[1.7193, 3.9960, 1.8901], [-1.9711, 0.0734, -4.3134], [-4.7057, 0.9995, 2.1674]],
  "species": ["Zr", "Zr", "Si", "Si", "Si", "Si"],
  "frac_coords": [[0.6667, 0.3333, 0.2500], [0.3333, 0.6667, 0.7500], [0.0000, 0.0000, 0.0000], [0.0000, 0.0000, 0.5000], [0.3333, 0.6667, 0.2500], [0.6667, 0.3333, 0.7500]],
  "n_ef_per_ev_cell": 4.50,
  "space_group": "No. 194",
  "e_form_raw_ev_per_atom": -0.14
}